First-principles (GGA-PBE) data for a relaxed Np3Ge3Ir4 crystal, as listed in the Alexandria database.

a b c (Å): 7.9934 7.9934 7.9934
angles (deg): 109.47 109.47 109.47
With the nearest neighbours (Å) after each atom.
Positions (direct):
Np 0.6250 0.7500 0.8750  4 Ge 2.83, 4 Ir 3.08
Np 0.8750 0.2500 0.6250  4 Ge 2.83, 4 Ir 3.08
Np 0.1250 0.3750 0.2500  4 Ge 2.83, 4 Ir 3.08
Np 0.3750 0.1250 0.7500  4 Ge 2.83, 4 Ir 3.08
Np 0.2500 0.8750 0.1250  4 Ge 2.83, 4 Ir 3.08
Np 0.7500 0.6250 0.3750  4 Ge 2.83, 4 Ir 3.08
Ge 0.1250 0.7500 0.3750  4 Ir 2.54, 4 Np 2.83
Ge 0.3750 0.2500 0.1250  4 Ir 2.54, 4 Np 2.83
Ge 0.6250 0.8750 0.2500  4 Ir 2.54, 4 Np 2.83
Ge 0.8750 0.6250 0.7500  4 Ir 2.54, 4 Np 2.83
Ge 0.2500 0.3750 0.6250  4 Ir 2.54, 4 Np 2.83
Ge 0.7500 0.1250 0.8750  4 Ir 2.54, 4 Np 2.83
Ir 0.0000 0.0000 0.3569  3 Ge 2.54
Ir 0.5000 0.3569 0.5000  3 Ge 2.54
Ir 0.6431 0.1431 0.1431  3 Ge 2.54
Ir 0.0000 0.0000 0.8569  3 Ge 2.54
Ir 0.8569 0.5000 0.0000  3 Ge 2.54
Ir 0.5000 0.8569 0.5000  3 Ge 2.54
Ir 0.3569 0.5000 0.0000  3 Ge 2.54
Ir 0.1431 0.6431 0.6431  3 Ge 2.54

Results
Formation energy ... -0.07 eV/atom
ρ ... 14.3 g/cm³
Raw total energy ... -8.886 eV/atom

First-principles (GGA-PBE) data for a relaxed NpGeIr2 crystal, as listed in the Alexandria database.

a b c (Å): 5.7006 3.8688 6.8619
angles (deg): 90.00 104.80 90.00
With the nearest neighbours (Å) after each atom.
Positions (direct):
Np 0.7679 0.2500 0.8149  7 Ir 2.78-2.98
Np 0.2321 0.7500 0.1851  7 Ir 2.78-2.98
Ge 0.1467 0.7500 0.6645  5 Ir 2.59-2.60
Ge 0.8533 0.2500 0.3355  5 Ir 2.59-2.60
Ir 0.3177 0.2500 0.4876  3 Ge 2.59-2.60, 2 Np 2.79, 2 Ir 2.81
Ir 0.6823 0.7500 0.5124  3 Ge 2.59-2.60, 2 Np 2.79, 2 Ir 2.81
Ir 0.3081 0.2500 0.9170  2 Ge 2.60, 3 Np 2.78-2.88
Ir 0.6919 0.7500 0.0830  2 Ge 2.60, 3 Np 2.78-2.88

Results
Formation energy ... -0.27 eV/atom
ρ ... 15.8 g/cm³
Raw total energy ... -9.086 eV/atom

First-principles (GGA-PBE) data for a relaxed NpGeIr crystal, as listed in the Alexandria database.

a b c (Å): 3.1674 4.4936 4.4936
angles (deg): 120.00 90.00 90.00
With the nearest neighbours (Å) after each atom.
Positions (direct):
Np 0.6666 0.3333 0.6667  6 Ge 3.04, 6 Ir 3.04, 2 Np 3.17
Ge 0.1668 0.6667 0.3333  3 Ir 2.59
Ir 0.1665 0.0000 0.0000  3 Ge 2.59

Results
Formation energy ... -0.39 eV/atom
ρ ... 15.0 g/cm³
Raw total energy ... -9.195 eV/atom

First-principles (GGA-PBE) data for a relaxed Np3Ge2Ir3 crystal, as listed in the Alexandria database.

a b c (Å): 4.5295 5.5213 13.2425
angles (deg): 90.00 90.00 114.22
With the nearest neighbours (Å) after each atom.
Positions (direct):
Np 0.9370 0.8739 0.3934  2 Np 2.93-3.10, 6 Ir 2.94-3.20, 4 Ge 3.03-3.19
Np 0.0630 0.1261 0.8934  2 Np 2.93-3.10, 6 Ir 2.94-3.20, 4 Ge 3.03-3.19
Np 0.9370 0.8739 0.1066  2 Np 2.93-3.10, 6 Ir 2.94-3.20, 4 Ge 3.03-3.19
Np 0.0630 0.1261 0.6066  2 Np 2.93-3.10, 6 Ir 2.94-3.20, 4 Ge 3.03-3.19
Np 0.7158 0.4316 0.2500  3 Ir 2.72-2.83, 2 Np 2.93
Np 0.2842 0.5684 0.7500  3 Ir 2.72-2.83, 2 Np 2.93
Ge 0.7620 0.5240 0.9058  3 Ir 2.53-2.63
Ge 0.2380 0.4760 0.4058  3 Ir 2.53-2.63
Ge 0.7620 0.5240 0.5942  3 Ir 2.53-2.63
Ge 0.2380 0.4760 0.0942  3 Ir 2.53-2.63
Ir 0.6129 0.2257 0.4402  3 Ge 2.53-2.63, 1 Np 2.72, 1 Ir 2.77
Ir 0.3871 0.7743 0.9402  3 Ge 2.53-2.63, 1 Np 2.72, 1 Ir 2.77
Ir 0.6129 0.2257 0.0598  3 Ge 2.53-2.63, 1 Np 2.72, 1 Ir 2.77
Ir 0.3871 0.7743 0.5598  3 Ge 2.53-2.63, 1 Np 2.72, 1 Ir 2.77
Ir 0.4344 0.8688 0.2500  7 Np 2.83-3.16, 2 Ge 2.86, 2 Ir 3.09
Ir 0.5656 0.1312 0.7500  7 Np 2.83-3.16, 2 Ge 2.86, 2 Ir 3.09

Results
Formation energy ... -0.37 eV/atom
ρ ... 15.8 g/cm³
Raw total energy ... -9.697 eV/atom

First-principles (GGA-PBE) data for a relaxed Np2Ge2Ir crystal, as listed in the Alexandria database.

a b c (Å): 3.5106 5.7441 9.8110
angles (deg): 82.90 79.69 72.21
With the nearest neighbours (Å) after each atom.
Positions (direct):
Np 0.6455 0.4408 0.2682  2 Np 2.44
Np 0.9283 0.3025 0.8409  2 Np 2.44
Np 0.3545 0.5592 0.7318  2 Np 2.44
Np 0.0717 0.6975 0.1591  2 Np 2.44
Ge 0.1046 0.2589 0.5319  3 Ir 2.54, 1 Ge 2.66
Ge 0.6320 0.8200 0.9160  1 Ir 2.51, 1 Ge 2.64
Ge 0.8954 0.7411 0.4681  3 Ir 2.54, 1 Ge 2.66
Ge 0.3680 0.1800 0.0840  1 Ir 2.51, 1 Ge 2.64
Ir 0.6586 0.0114 0.6713  4 Ge 2.51-2.54
Ir 0.3414 0.9886 0.3287  4 Ge 2.51-2.54

Results
Formation energy ... -0.29 eV/atom
ρ ... 14.6 g/cm³
Raw total energy ... -9.083 eV/atom

First-principles (GGA-PBE) data for a relaxed Np2Ge3Ir crystal, as listed in the Alexandria database.

a b c (Å): 4.3329 5.7701 5.5690
angles (deg): 63.96 67.11 67.95
With the nearest neighbours (Å) after each atom.
Positions (direct):
Np 0.5339 0.1654 0.7668  1 Np 2.44
Np 0.4655 0.8360 0.2330  1 Np 2.44
Ge 0.8616 0.6185 0.6584  1 Ir 2.48, 3 Ge 2.63-2.64
Ge 0.8005 0.2450 0.1539  2 Ir 2.52, 1 Ge 2.64
Ge 0.1885 0.7600 0.8630  1 Ir 2.55, 2 Ge 2.63
Ir 0.1500 0.3752 0.3249  4 Ge 2.48-2.55

Results
Formation energy ... -0.28 eV/atom
ρ ... 13.1 g/cm³
Energy above the lowest structure with this stoichiometry ... 0.0 kJ/mol of formula units
Raw total energy ... -8.382 eV/atom

First-principles (GGA-PBE) data for a relaxed NpGe2Ir crystal, as listed in the Alexandria database.

a b c (Å): 4.3702 6.7851 10.2050
angles (deg): 90.00 90.00 90.00
With the nearest neighbours (Å) after each atom.
Positions (direct):
Np 0.7500 0.6839 0.6369  9 Ge 2.96-3.25, 3 Ir 3.15-3.23
Np 0.2500 0.8161 0.1369  9 Ge 2.96-3.25, 3 Ir 3.15-3.23
Np 0.2500 0.3161 0.3631  9 Ge 2.96-3.25, 3 Ir 3.15-3.23
Np 0.7500 0.1839 0.8631  9 Ge 2.96-3.25, 3 Ir 3.15-3.23
Ge 0.7500 0.2204 0.5741  3 Ir 2.45-2.62, 2 Ge 2.64
Ge 0.2500 0.2796 0.0741  3 Ir 2.45-2.62, 2 Ge 2.64
Ge 0.2500 0.7796 0.4259  3 Ir 2.45-2.62, 2 Ge 2.64
Ge 0.7500 0.7204 0.9259  3 Ir 2.45-2.62, 2 Ge 2.64
Ge 0.7500 0.6146 0.3314  2 Ir 2.44-2.59, 2 Ge 2.64
Ge 0.2500 0.8854 0.8314  2 Ir 2.44-2.59, 2 Ge 2.64
Ge 0.2500 0.3854 0.6686  2 Ir 2.44-2.59, 2 Ge 2.64
Ge 0.7500 0.1146 0.1686  2 Ir 2.44-2.59, 2 Ge 2.64
Ir 0.7500 0.9851 0.3921  5 Ge 2.44-2.62
Ir 0.2500 0.5149 0.8921  5 Ge 2.44-2.62
Ir 0.2500 0.0149 0.6079  5 Ge 2.44-2.62
Ir 0.7500 0.4851 0.1079  5 Ge 2.44-2.62

Results
Formation energy ... -0.32 eV/atom
ρ ... 12.6 g/cm³
Raw total energy ... -8.083 eV/atom

First-principles (GGA-PBE) data for a relaxed NpGe3Ir2 crystal, as listed in the Alexandria database.

a b c (Å): 4.0542 8.3011 10.2763
angles (deg): 100.12 90.00 104.13
With the nearest neighbours (Å) after each atom.
Positions (direct):
Np 0.1593 0.3186 0.6968  6 Ge 2.97-3.13
Np 0.8407 0.6814 0.3032  6 Ge 2.97-3.13
Np 0.0000 0.0000 0.0000  6 Ir 2.91-3.11
Ge 0.0378 0.0755 0.3451  4 Ir 2.52-2.65, 2 Ge 2.71
Ge 0.9622 0.9245 0.6549  4 Ir 2.52-2.65, 2 Ge 2.71
Ge 0.2294 0.4588 0.3945  3 Ir 2.53-2.54
Ge 0.7706 0.5412 0.6055  3 Ir 2.53-2.54
Ge 0.6489 0.2977 0.1741  4 Ir 2.51-2.60, 1 Ge 2.69
Ge 0.3511 0.7023 0.8259  4 Ir 2.51-2.60, 1 Ge 2.69
Ge 0.5000 0.0000 0.5000  2 Ir 2.52, 4 Ge 2.71
Ge 0.3527 0.7053 0.0884  4 Ir 2.41-2.56, 1 Ge 2.69
Ge 0.6473 0.2947 0.9116  4 Ir 2.41-2.56, 1 Ge 2.69
Ir 0.1965 0.3931 0.0568  5 Ge 2.48-2.56
Ir 0.8035 0.6069 0.9432  5 Ge 2.48-2.56
Ir 0.4975 0.9950 0.2026  4 Ge 2.41-2.52
Ir 0.5025 0.0050 0.7974  4 Ge 2.41-2.52
Ir 0.3598 0.7196 0.5762  7 Ge 2.52-2.65
Ir 0.6402 0.2804 0.4238  7 Ge 2.52-2.65

Results
Formation energy ... -0.28 eV/atom
ρ ... 12.7 g/cm³
Raw total energy ... -7.700 eV/atom